Record 1
Computed, not measured: InCo2W at its PBEsol-relaxed geometry at the SCAN level of DFT.

The value obtained for the formation enthalpy at 0 K is 113 kJ/mol of formula units. For the total magnetization, the calculation gives 3.39 μB/f.u. Its space-group type is P4mm. The value obtained for the mass density is 12.4 g/cm³.

Geometry as POSCAR:
```
InCo2W
1.0
-1.7702 -1.8236 -1.1913
1.6963 -0.1911 -2.2280
3.4463 -5.3598 3.0837
In W Co
1 1 2
Direct
0.0000 0.0000 0.4746 In
0.5000 0.5000 0.7909 W
0.0000 0.0000 0.0214 Co
0.5000 0.5000 0.2131 Co
```

---

Record 2
Computed, not measured: Y2AsPb at its PBEsol-relaxed geometry at the SCAN level of DFT.

Its energy above the most stable polymorph in this dataset is 0.4303 eV per atom. The value obtained for the formation enthalpy at 0 K is -310 kJ/mol of formula units. For the total magnetization, the calculation gives 0.00 μB/f.u. Its space-group type is I4/mmm. The value obtained for the mass density is 7.8 g/cm³.

Geometry as POSCAR:
```
Y2AsPb
1.0
4.9205 0.0000 0.0000
-2.4602 4.7184 0.0212
0.0000 -2.5845 4.1871
Y As Pb
2 1 1
Direct
0.7500 0.5000 0.2500 Y
0.2500 0.5000 0.7500 Y
0.5000 0.0000 0.5000 As
0.0000 0.0000 0.0000 Pb
```

---

Q: formation enthalpy at 0 K of number 2 (Y2AsPb)?
A: -310 kJ/mol of formula units